1.
# GGA-PBE Ta2AlHg, optimized geometry
data_Ta2AlHg
_symmetry_space_group_name_H-M 'P 1 m 1'
_symmetry_Int_Tables_number 6
_symmetry_space_group_name_Hall 'P -2y'
_cell_length_a 2.984
_cell_length_b 4.315
_cell_length_c 5.802
_cell_angle_alpha 90.00
_cell_angle_beta 102.67
_cell_angle_gamma 90.00
loop_
_atom_site_label
_atom_site_type_symbol
_atom_site_fract_x
_atom_site_fract_y
_atom_site_fract_z
_atom_site_occupancy
Ta1 Ta 0.000 0.000 0.000 1
Ta2 Ta 0.295 0.500 0.728 1
Al1 Al 0.594 0.500 0.210 1
Hg1 Hg 0.697 0.000 0.482 1
# Energy relative to the elements in eV/atom: 0.11
# E above lowest polymorph in meV per atom: 44
# Total magnetization in μB per atom: 0.000


2.
# GGA-PBE InFeB2, optimized geometry
data_InFeB2
_symmetry_space_group_name_H-M 'I 41/a m d'
_symmetry_Int_Tables_number 141
_cell_length_a 3.821
_cell_length_b 3.821
_cell_length_c 13.691
_cell_angle_alpha 90.00
_cell_angle_beta 90.00
_cell_angle_gamma 90.00
loop_
_symmetry_equiv_pos_as_xyz
'x,y,z'
'-x,-y,-z'
'-y+1/4,x+3/4,z+1/4'
'y+1/4,-x+3/4,-z+1/4'
'-x+1/2,-y,z+1/2'
'x+1/2,y,-z+1/2'
'y+1/4,-x+1/4,z+3/4'
'-y+1/4,x+1/4,-z+3/4'
'x,-y,-z'
'-x,y,z'
'-y+1/4,-x+1/4,-z+3/4'
'y+1/4,x+1/4,z+3/4'
'-x+1/2,y,-z+1/2'
'x+1/2,-y,z+1/2'
'y+1/4,x+3/4,-z+1/4'
'-y+1/4,-x+3/4,z+1/4'
'x+1/2,y+1/2,z+1/2'
'-x+1/2,-y+1/2,-z+1/2'
'-y+3/4,x+1/4,z+3/4'
'y+3/4,-x+1/4,-z+3/4'
'-x,-y+1/2,z'
'x,y+1/2,-z'
'y+3/4,-x+3/4,z+1/4'
'-y+3/4,x+3/4,-z+1/4'
'x+1/2,-y+1/2,-z+1/2'
'-x+1/2,y+1/2,z+1/2'
'-y+3/4,-x+3/4,-z+1/4'
'y+3/4,x+3/4,z+1/4'
'-x,y+1/2,-z'
'x,-y+1/2,z'
'y+3/4,x+1/4,-z+3/4'
'-y+3/4,-x+1/4,z+3/4'
loop_
_atom_site_label
_atom_site_type_symbol
_atom_site_fract_x
_atom_site_fract_y
_atom_site_fract_z
_atom_site_occupancy
In1 In 0.000 0.250 0.375 1
Fe1 Fe 0.000 0.250 0.875 1
B1 B 0.000 0.000 0.000 1
# Energy relative to the elements in eV/atom: 0.43
# Total magnetization in μB per atom: 0.000


3.
# GGA-PBE BaCrPt, optimized geometry
data_BaCrPt
_symmetry_space_group_name_H-M 'F -4 3 m'
_symmetry_Int_Tables_number 216
_symmetry_space_group_name_Hall 'F -4 2 3'
_cell_length_a 7.094
_cell_length_b 7.094
_cell_length_c 7.094
_cell_angle_alpha 90.00
_cell_angle_beta 90.00
_cell_angle_gamma 90.00
loop_
_atom_site_label
_atom_site_type_symbol
_atom_site_fract_x
_atom_site_fract_y
_atom_site_fract_z
_atom_site_occupancy
Ba1 Ba 0.000 0.000 0.000 1
Cr1 Cr 0.000 0.000 0.500 1
Pt1 Pt 0.250 0.250 0.250 1
# Energy relative to the elements in eV/atom: 0.25
# E above lowest polymorph in meV per atom: 411
# Total magnetization in μB per atom: 1.685


4.
# GGA-PBE SrNi5As4, optimized geometry
data_SrNi5As4
_symmetry_space_group_name_H-M 'P 4/n m m'
_symmetry_Int_Tables_number 129
_cell_length_a 8.456
_cell_length_b 8.456
_cell_length_c 4.923
_cell_angle_alpha 90.00
_cell_angle_beta 90.00
_cell_angle_gamma 90.00
loop_
_symmetry_equiv_pos_as_xyz
'x,y,z'
'-x,-y,-z'
'-y+1/2,x,z'
'y+1/2,-x,-z'
'-x+1/2,-y+1/2,z'
'x+1/2,y+1/2,-z'
'y,-x+1/2,z'
'-y,x+1/2,-z'
'x+1/2,-y,-z'
'-x+1/2,y,z'
'-y,-x,-z'
'y,x,z'
'-x,y+1/2,-z'
'x,-y+1/2,z'
'y+1/2,x+1/2,-z'
'-y+1/2,-x+1/2,z'
loop_
_atom_site_label
_atom_site_type_symbol
_atom_site_fract_x
_atom_site_fract_y
_atom_site_fract_z
_atom_site_occupancy
Sr1 Sr 0.250 0.750 0.000 1
Ni1 Ni 0.013 0.013 0.247 1
Ni2 Ni 0.250 0.250 0.316 1
As1 As 0.006 0.250 0.546 1
# Energy relative to the elements in eV/atom: -0.06
# Total magnetization in μB per atom: 0.000


5.
# GGA-PBE Tb3Sm4Mg, optimized geometry
data_Tb3Sm4Mg
_symmetry_space_group_name_H-M 'P 4/m m m'
_symmetry_Int_Tables_number 123
_symmetry_space_group_name_Hall '-P 4 2'
_cell_length_a 3.614
_cell_length_b 3.614
_cell_length_c 19.524
_cell_angle_alpha 90.00
_cell_angle_beta 90.00
_cell_angle_gamma 90.00
loop_
_atom_site_label
_atom_site_type_symbol
_atom_site_fract_x
_atom_site_fract_y
_atom_site_fract_z
_atom_site_occupancy
Tb1 Tb 0.000 0.000 0.000 1
Tb2 Tb 0.000 0.000 0.259 1
Sm1 Sm 0.500 0.500 0.129 1
Sm2 Sm 0.500 0.500 0.387 1
Mg1 Mg 0.000 0.000 0.500 1
# Energy relative to the elements in eV/atom: -0.01
# E above lowest polymorph in meV per atom: 0
# Total magnetization in μB per atom: 0.000


6.
# GGA-PBE MoBr3, optimized geometry
data_MoBr3
_symmetry_space_group_name_H-M 'R -3 m'
_symmetry_Int_Tables_number 166
_symmetry_space_group_name_Hall '-R 3 2"'
_cell_length_a 3.3614
_cell_length_b 3.3614
_cell_length_c 29.3226
_cell_angle_alpha 90.00
_cell_angle_beta 90.00
_cell_angle_gamma 120.00
loop_
_atom_site_label
_atom_site_type_symbol
_atom_site_fract_x
_atom_site_fract_y
_atom_site_fract_z
_atom_site_occupancy
Mo1 Mo 0.0000 0.0000 0.0000 1
Br1 Br 0.0000 0.0000 0.2731 1
Br2 Br 0.0000 0.0000 0.5000 1
# DFT total energy in eV/atom: -3.958
# Total magnetization in μB per atom: 0.001


7.
# GGA-PBE Sr2LiIn2, optimized geometry
data_Sr2LiIn2
_symmetry_space_group_name_H-M 'I 4/m m m'
_symmetry_Int_Tables_number 139
_symmetry_space_group_name_Hall '-I 4 2'
_cell_length_a 4.336
_cell_length_b 4.336
_cell_length_c 19.830
_cell_angle_alpha 90.00
_cell_angle_beta 90.00
_cell_angle_gamma 90.00
loop_
_atom_site_label
_atom_site_type_symbol
_atom_site_fract_x
_atom_site_fract_y
_atom_site_fract_z
_atom_site_occupancy
Sr1 Sr 0.000 0.000 0.106 1
Li1 Li 0.000 0.000 0.500 1
In1 In 0.000 0.500 0.250 1
# Energy relative to the elements in eV/atom: -0.05
# E above lowest polymorph in meV per atom: 298
# Total magnetization in μB per atom: 0.000


8.
# GGA-PBE MgZn2Pb, optimized geometry
data_MgZn2Pb
_symmetry_space_group_name_H-M 'P 1 2/m 1'
_symmetry_Int_Tables_number 10
_symmetry_space_group_name_Hall '-P 2y'
_cell_length_a 3.341
_cell_length_b 4.054
_cell_length_c 6.270
_cell_angle_alpha 90.00
_cell_angle_beta 90.09
_cell_angle_gamma 90.00
loop_
_atom_site_label
_atom_site_type_symbol
_atom_site_fract_x
_atom_site_fract_y
_atom_site_fract_z
_atom_site_occupancy
Mg1 Mg 0.000 0.000 0.000 1
Zn1 Zn 0.499 0.500 0.213 1
Pb1 Pb 0.000 0.000 0.500 1
# Energy relative to the elements in eV/atom: 0.07
# E above lowest polymorph in meV per atom: 27
# Total magnetization in μB per atom: 0.000


> What is the total magnetization in the seventh record?

0.000 μB per atom


> Which value of total magnetization does entry 7 give?

0.000 μB per atom